PBE Co3PbAu, relaxed; DOS(E_F) = 2.265 states/eV/atom; space group = Pm-3m (221); energy relative to the elements = 1.67 eV/atom; excess energy over the best structure of this formula in the dataset = 218 kJ/mol of formula units
1.0
4.7770 0.0000 0.0000
0.0000 4.7770 0.0000
0.0000 0.0000 4.7770
Co Pb Au
3 1 1
Cartesian
0.0000 0.0000 2.3885
0.0000 2.3885 0.0000
2.3885 0.0000 0.0000
0.0000 0.0000 0.0000
2.3885 2.3885 2.3885